No. 1
The following is a PBE-GGA calculation of crystalline Ce4B at its relaxed geometry, from Alexandria via LeMat-Bulk.

abc: 5.095 5.095 5.095
angles: 90.00 90.00 90.00
Last column: magnetic moment on the atom in μB.
Positions (direct):
B  0.500  0.500  0.500  0.02
Ce  0.000  0.000  0.000  0.72
Ce  0.500  0.000  0.500  0.17
Ce  0.000  0.500  0.500  0.17
Ce  0.500  0.500  0.000  0.17

Computed properties:
**SG**: Pm-3m (221)
**M_tot**: 0.319 μB/atom
**Calculated formation energy**: 0.203 eV per atom
**Total energy**: -29.4 eV/cell


No. 2
The following is a PBE-GGA calculation of crystalline ZrTi4Pb at its relaxed geometry, from Alexandria via LeMat-Bulk.

abc: 5.484 5.484 5.484
angles: 60.00 60.00 60.00
Last column: magnetic moment on the atom in μB.
Positions (direct):
Pb  0.000  0.000  0.000  -0.02
Zr  0.250  0.250  0.250  -0.05
Ti  0.622  0.622  0.135  0.51
Ti  0.622  0.135  0.622  0.51
Ti  0.622  0.622  0.622  0.51
Ti  0.135  0.622  0.622  0.51

Computed properties:
**SG**: F-43m (216)
**M_tot**: 0.400 μB/atom
**Calculated formation energy**: 0.103 eV per atom
**Total energy**: -43.2 eV/cell


No. 3
The following is a PBE-GGA calculation of crystalline CuF4 at its relaxed geometry, from Alexandria via LeMat-Bulk.

abc: 5.453 5.170 6.035
angles: 76.58 63.15 59.07
Last column: magnetic moment on the atom in μB.
Positions (direct):
Cu  0.071  0.250  0.857  0.44
Cu  0.929  0.750  0.143  0.44
F  0.409  0.264  0.628  0.09
F  0.962  0.236  0.628  0.09
F  0.166  0.294  0.102  0.20
F  0.732  0.206  0.102  0.20
F  0.834  0.706  0.898  0.20
F  0.268  0.794  0.898  0.20
F  0.038  0.764  0.372  0.09
F  0.591  0.736  0.372  0.09

Computed properties:
**SG**: C2/c (15)
**M_tot**: 0.214 μB/atom
**Total energy**: -32.8 eV/cell